1.
Computed, not measured: crystalline SbMo3S at its relaxed geometry at the PBE level of DFT.

## Properties
**ΔE_f (raw)**: 2.255 eV per atom
**N(E_F)**: 6.5 states/eV per cell
**Calculated total energy**: -29.469 eV/cell

Lattice parameters (Å, degrees): 4.9327 4.9327 4.9327 90.00 90.00 90.00
Space group Pm-3m (No. 221)
Symmetry-distinct sites (fractional):
Sb (0.0000, 0.0000, 0.0000)
Mo (0.0000, 0.0000, 0.5000)
S (0.5000, 0.5000, 0.5000)

2.
Computed, not measured: crystalline Sb2MoS at its relaxed geometry at the PBE level of DFT.

## Properties
**ΔE_f (raw)**: -0.355 eV per atom
**N(E_F)**: 13.9 states/eV per cell
**Calculated total energy**: -393.965 eV/cell

Lattice parameters (Å, degrees): 37.2772 6.3792 6.6325 90.00 96.56 90.00
Space group C2/m (No. 12)
Symmetry-distinct sites (fractional):
Sb (0.0091, 0.0000, 0.2888)
Sb (0.0091, 0.5000, 0.2885)
Sb (0.0866, 0.0000, 0.4179)
Sb (0.0865, 0.5000, 0.4178)
Sb (0.1635, 0.2501, 0.5810)
Sb (0.2409, 0.2355, 0.7108)
Mo (0.1225, 0.0000, 0.8262)
Mo (0.1225, 0.5000, 0.8265)
Mo (0.1276, 0.2500, 0.1725)
S (0.0787, 0.2500, 0.9049)
S (0.1714, 0.0000, 0.0940)
S (0.1714, 0.5000, 0.0939)

3.
Computed, not measured: crystalline Sb2MoS at its relaxed geometry at the PBE level of DFT.

## Properties
**ΔE_f (raw)**: 0.616 eV per atom
**N(E_F)**: 8.4 states/eV per cell
**Calculated total energy**: -82.960 eV/cell

Lattice parameters (Å, degrees): 6.1946 6.1946 12.2130 90.00 90.00 90.00
Space group I-42d (No. 122)
Symmetry-distinct sites (fractional):
Sb (0.2289, 0.2500, 0.1250)
Mo (0.0000, 0.0000, 0.0000)
S (0.0000, 0.0000, 0.5000)